Entry 1:
Compound: HfZn2Ni2
Source: the Alexandria database
Functional: meta-GGA SCAN
Structure: single point on PBEsol structure

Cell lengths 5.8314, 5.8314, 5.8314 Å; angles 143.49, 143.49, 52.59 degrees
With the nearest neighbours (Å) after each atom.
Fractional coordinates of all 5 atoms:
Hf  0.0000  0.0000  0.0000  8 Zn 2.83
Zn  0.3891  0.3891  0.0000  1 Zn 2.32, 4 Ni 2.33
Zn  0.6109  0.6109  0.0000  1 Zn 2.32, 4 Ni 2.33
Ni  0.2500  0.7500  0.5000  4 Zn 2.33, 4 Ni 2.58
Ni  0.7500  0.2500  0.5000  4 Zn 2.33, 4 Ni 2.58

## Properties
For the total energy, the calculation gives -122.7 eV per cell. As for the density of states at the Fermi level: 2.6 states/eV/cell. Its calculated volume is 70 Å³/cell. Its crystal system is tetragonal.

Entry 2:
Compound: PmI
Source: the Alexandria database
Functional: meta-GGA SCAN
Structure: single point on PBEsol structure

Cell lengths 3.8475, 3.8475, 4.5865 Å; angles 90.00, 90.00, 120.00 degrees
With the nearest neighbours (Å) after each atom.
Fractional coordinates of all 2 atoms:
Pm  0.0000  0.0000  0.0000  6 I 3.19
I  0.6667  0.3333  0.5000  6 Pm 3.19

## Properties
For the total energy, the calculation gives -82.8 eV per cell. As for the density of states at the Fermi level: 0.3 states/eV/cell. The uncorrected formation energy comes out at -1016 meV per atom. Its calculated volume is 59 Å³/cell. Its crystal system is hexagonal.